BeZnS after structural relaxation. Source: the Alexandria database, functional GGA-PBE.

Lattice parameters (Å, degrees): 5.648 3.808 6.599 90.00 113.13 90.00
Fractional coordinates of all 6 atoms:
Zn 0.726 0.000 0.870
Zn 0.726 0.500 0.370
S 0.932 0.000 0.606
S 0.932 0.500 0.106
Be 0.301 0.500 0.229
Be 0.301 0.000 0.729

Symmetry = Cm
E_form (uncorrected) = -0.009 eV/atom
Offset from the most stable computed form = 35.2 kJ/mol of atoms
Calculated volume = 21.75 Å³/atom
E = -3.05 eV per atom